## CsTaVO4 (PBE with a Hubbard U)

Data for a relaxed structure of CsTaVO4.

```
CsTaVO4
1.0
-3.453 2.768 -3.984
-4.288 -4.245 0.766
0.035 1.821 10.286
Cs O V Ta
2 8 2 2
Cartesian
-5.367 0.107 6.766 Cs
-2.338 0.238 0.302 Cs
-2.618 1.066 3.322 O
-3.739 -2.464 1.637 O
-5.087 -0.721 3.746 O
-3.966 2.808 5.431 O
-2.108 -0.774 6.824 O
-5.597 1.118 0.244 O
-7.522 -0.788 0.588 O
-0.183 1.132 6.480 O
-6.186 0.102 2.155 V
-1.519 0.242 4.913 V
-3.825 -2.054 3.425 Ta
-3.880 2.398 3.643 Ta
```

Properties
* uncorrected energy: -110.1 eV per cell
* mass density: 4620 kg/m3
* space group: P2_1/m